# 1
FeCoSeBr2 GGA-PBE relaxed; final energy = -19.56 eV/f.u.; E above lowest polymorph = 0.000 eV per atom; M_tot = 4.12 Bohr magnetons per cell; raw formation energy = 55 kJ per mole of atoms
1.0
4.9335 0.0000 0.0000
0.0000 4.9335 0.0000
0.0000 0.0000 4.5974
Fe Co Se Br
1 1 1 2
Direct
0.0000 0.0000 0.0000
0.5000 0.5000 0.5000
0.5000 0.5000 0.0000
0.0000 0.5000 0.5000
0.5000 0.0000 0.5000



# 2
MnTe2PbN GGA-PBE relaxed; final energy = -27.12 eV/f.u.; E above lowest polymorph = 0.000 eV per atom; M_tot = 1.82 Bohr magnetons per cell; raw formation energy = 7 kJ per mole of atoms
1.0
5.6761 0.0000 0.0000
0.0000 5.6761 0.0000
0.0000 0.0000 3.5599
Mn Te Pb N
1 2 1 1
Direct
0.0000 0.0000 0.0000
0.0000 0.5000 0.0000
0.5000 0.0000 0.0000
0.5000 0.5000 0.5000
0.0000 0.0000 0.5000



# 3
Na3Ca2RuO6 GGA-PBE relaxed; final energy = -69.90 eV/f.u.; M_tot = 3.00 Bohr magnetons per cell; raw formation energy = -184 kJ per mole of atoms
1.0
2.8614 -4.9630 0.0000
2.8614 4.9630 0.0000
-1.9178 0.0000 5.4996
Na Ca Ru O
3 2 1 6
Direct
0.0000 0.0000 0.0000
0.3417 0.6583 0.0000
0.6583 0.3417 0.0000
0.1674 0.8326 0.5000
0.8326 0.1674 0.5000
0.5000 0.5000 0.5000
0.1387 0.4298 0.2874
0.2767 0.2767 0.7052
0.4298 0.1387 0.2874
0.5702 0.8613 0.7126
0.7233 0.7233 0.2948
0.8613 0.5702 0.7126



# 4
NaCuN2 GGA-PBE relaxed; final energy = -17.79 eV/f.u.; E above lowest polymorph = 0.055 eV per atom; M_tot = 0.00 Bohr magnetons per cell; raw formation energy = 103 kJ per mole of atoms
1.0
1.5232 0.8794 6.2893
-1.5232 0.8794 6.2893
0.0000 -1.7588 6.2893
Na Cu N
1 1 2
Direct
0.0000 0.0000 0.0000
0.5000 0.5000 0.5000
0.1188 0.1188 0.1188
0.8812 0.8812 0.8812



# 5
Dy2UCo GGA-PBE relaxed; final energy = -25.74 eV/f.u.; ΔE_f = 44.8 kJ per mole of atoms; M_tot = 1.51 Bohr magnetons per cell
1.0
1.6127 0.9311 10.3443
-1.6127 0.9311 10.3443
0.0000 -1.8622 10.3443
Dy U Co
2 1 1
Direct
0.1041 0.1041 0.1041
0.8959 0.8959 0.8959
0.0000 0.0000 0.0000
0.5000 0.5000 0.5000



# 6
PmGaSn4 GGA-PBE relaxed; final energy = -24.63 eV/f.u.; ΔE_f = -13.5 kJ per mole of atoms; M_tot = 0.00 Bohr magnetons per cell
1.0
0.0000 4.3569 4.3569
4.3569 0.0000 4.3569
4.3569 4.3569 0.0000
Pm Ga Sn
1 1 4
Direct
0.0000 0.0000 0.0000
0.7500 0.7500 0.7500
0.3751 0.3751 0.3751
0.3751 0.3751 0.8747
0.3751 0.8747 0.3751
0.8747 0.3751 0.3751



# 7
Y3MgN GGA-PBE relaxed; final energy = -32.32 eV/f.u.; E above lowest polymorph = 0.121 eV per atom; M_tot = 0.00 Bohr magnetons per cell; raw formation energy = -58 kJ per mole of atoms
1.0
5.5279 0.0000 0.0000
0.0000 3.8654 0.0000
-0.1975 0.0000 12.1122
Y Mg N
6 2 2
Direct
0.2386 0.0000 0.3182
0.2501 0.0000 0.8679
0.2613 0.5000 0.6023
0.7387 0.5000 0.3977
0.7499 0.0000 0.1321
0.7614 0.0000 0.6818
0.2681 0.5000 0.0901
0.7319 0.5000 0.9099
0.1628 0.0000 0.6884
0.8372 0.0000 0.3116



# 8
Tb4TlIn GGA-PBE relaxed; final energy = -24.03 eV/f.u.; ΔE_f = -6.6 kJ per mole of atoms; E above lowest polymorph = 0.000 eV per atom; M_tot = 0.00 Bohr magnetons per cell
1.0
2.6033 1.5030 8.4946
-2.6033 1.5030 8.4946
0.0000 -3.0060 8.4946
Tb Tl In
4 1 1
Direct
0.1246 0.1246 0.1246
0.3745 0.3745 0.3745
0.6255 0.6255 0.6255
0.8754 0.8754 0.8754
0.5000 0.5000 0.5000
0.0000 0.0000 0.0000



# 9
NdEr2NpO8 GGA-PBE relaxed; final energy = -104.62 eV/f.u.; M_tot = 0.02 Bohr magnetons per cell; raw formation energy = -307 kJ per mole of atoms
1.0
3.9021 0.0000 0.0000
0.0000 7.4607 0.0000
-0.3297 0.0000 5.3730
Nd Er Np O
1 2 1 8
Direct
0.0000 0.0000 0.0000
0.5000 0.2436 0.5000
0.5000 0.7564 0.5000
0.0000 0.5000 0.0000
0.0232 0.2818 0.7577
0.0232 0.7182 0.7577
0.4623 0.5000 0.2268
0.4923 0.0000 0.7384
0.5077 0.0000 0.2616
0.5377 0.5000 0.7732
0.9768 0.2818 0.2423
0.9768 0.7182 0.2423



# 10
Al2FeW GGA-PBE relaxed; final energy = -29.08 eV/f.u.; ΔE_f = -4.2 kJ per mole of atoms; E above lowest polymorph = 0.097 eV per atom; M_tot = 1.64 Bohr magnetons per cell
1.0
4.8097 -1.4681 0.0000
4.8097 1.4681 0.0000
-2.0281 0.0000 3.9860
Al Fe W
2 1 1
Direct
0.2305 0.2305 0.2307
0.7695 0.7695 0.7693
0.5000 0.5000 0.0000
0.0000 0.0000 0.5000



# 11
Ba2Zn3Ag GGA-PBE relaxed; final energy = -11.85 eV/f.u.; ΔE_f = -21.4 kJ per mole of atoms; M_tot = 0.00 Bohr magnetons per cell
1.0
0.0000 4.7388 8.1420
4.5654 0.0000 8.1420
4.5654 4.7388 0.0000
Ba Zn Ag
4 6 2
Direct
0.2437 0.7563 0.7563
0.2500 0.2500 0.2500
0.7500 0.7500 0.7500
0.7563 0.2437 0.2437
0.1713 0.6636 0.3364
0.3363 0.3363 0.6637
0.3364 0.8287 0.1713
0.6636 0.1713 0.8287
0.6637 0.6637 0.3363
0.8287 0.3364 0.6636
0.1673 0.1673 0.8327
0.8327 0.8327 0.1673



# 12
LiZrSeN2 GGA-PBE relaxed; final energy = -30.39 eV/f.u.; E above lowest polymorph = 0.000 eV per atom; M_tot = 2.72 Bohr magnetons per cell; raw formation energy = 4 kJ per mole of atoms
1.0
4.2705 0.0000 0.0000
0.0000 4.2705 0.0000
0.0000 0.0000 5.4268
Li Zr Se N
1 1 1 2
Direct
0.0000 0.0000 0.0000
0.5000 0.5000 0.5000
0.5000 0.5000 0.0000
0.0000 0.5000 0.5000
0.5000 0.0000 0.5000



# 13
CrTeRu2 GGA-PBE relaxed; final energy = -28.98 eV/f.u.; M_tot = 1.43 Bohr magnetons per cell; raw formation energy = 56 kJ per mole of atoms
1.0
1.4910 0.8609 8.2382
-1.4910 0.8609 8.2382
0.0000 -1.7217 8.2382
Cr Te Ru
1 1 2
Direct
0.0000 0.0000 0.0000
0.2467 0.2467 0.2467
0.4955 0.4955 0.4955
0.7413 0.7413 0.7413



# 14
Ac2DyEr GGA-PBE relaxed; final energy = -17.17 eV/f.u.; ΔE_f = 5.0 kJ per mole of atoms; E above lowest polymorph = 0.000 eV per atom; M_tot = 0.00 Bohr magnetons per cell
1.0
5.4590 0.0000 0.0000
0.0000 5.4590 0.0000
0.0000 0.0000 5.0031
Ac Dy Er
2 1 1
Direct
0.0000 0.5000 0.0000
0.5000 0.0000 0.0000
0.0000 0.0000 0.5000
0.5000 0.5000 0.5000



# 15
FeW2Br GGA-PBE relaxed; final energy = -33.38 eV/f.u.; E above lowest polymorph = 0.104 eV per atom; M_tot = 2.90 Bohr magnetons per cell; raw formation energy = 64 kJ per mole of atoms
1.0
1.5919 -2.4255 0.0000
1.5919 2.4255 0.0000
0.0000 0.0000 8.8248
Fe W Br
1 2 1
Direct
0.0000 0.0000 0.0000
0.0000 0.0000 0.5364
0.5000 0.5000 0.7701
0.5000 0.5000 0.2353



# 16
PrHoIr GGA-PBE relaxed; final energy = -19.64 eV/f.u.; ΔE_f = -45.8 kJ per mole of atoms; E above lowest polymorph = 0.133 eV per atom; M_tot = 0.00 Bohr magnetons per cell
1.0
-1.7636 1.7636 6.5261
1.7636 -1.7636 6.5261
1.7636 1.7636 -6.5261
Pr Ho Ir
1 1 1
Direct
0.0000 0.0000 0.0000
0.7467 0.7467 0.0000
0.3626 0.3626 0.0000



# 17
NaTi2Pd2 GGA-PBE relaxed; final energy = -28.79 eV/f.u.; ΔE_f = -25.1 kJ per mole of atoms; E above lowest polymorph = 0.000 eV per atom; M_tot = 0.72 Bohr magnetons per cell
1.0
7.8890 0.0000 0.0000
0.0000 7.8890 0.0000
0.0000 0.0000 2.8388
Na Ti Pd
2 4 4
Direct
0.0000 0.0000 0.0000
0.5000 0.5000 0.0000
0.1525 0.3475 0.5000
0.3475 0.8475 0.5000
0.6525 0.1525 0.5000
0.8475 0.6525 0.5000
0.1395 0.6395 0.0000
0.3605 0.1395 0.0000
0.6395 0.8605 0.0000
0.8605 0.3605 0.0000



# 18
Cu2Au3Cl6 GGA-PBE relaxed; final energy = -32.31 eV/f.u.; M_tot = 2.06 Bohr magnetons per cell; raw formation energy = -28 kJ per mole of atoms
1.0
5.8402 -3.1425 0.0000
5.8402 3.1425 0.0000
-4.6053 0.0000 14.6065
Cu Au Cl
4 6 12
Direct
0.1569 0.6613 0.9950
0.3387 0.8431 0.5050
0.6613 0.1569 0.4950
0.8431 0.3387 0.0050
0.0070 0.9930 0.2500
0.2426 0.4238 0.2536
0.4238 0.2426 0.7536
0.5762 0.7574 0.2464
0.7574 0.5762 0.7464
0.9930 0.0070 0.7500
0.0089 0.0965 0.4071
0.0965 0.0089 0.9071
0.1895 0.3511 0.0954
0.3342 0.4674 0.4122
0.3511 0.1895 0.5954
0.4674 0.3342 0.9122
0.5326 0.6658 0.0878
0.6489 0.8105 0.4046
0.6658 0.5326 0.5878
0.8105 0.6489 0.9046
0.9035 0.9911 0.0929
0.9911 0.9035 0.5929



# 19
La5DyBi4 GGA-PBE relaxed; final energy = -51.09 eV/f.u.; ΔE_f = -61.1 kJ per mole of atoms; M_tot = 0.00 Bohr magnetons per cell
1.0
9.9015 -2.2692 0.0000
9.9015 2.2692 0.0000
-2.2749 0.0000 8.6911
La Dy Bi
5 1 4
Direct
0.0000 0.0000 0.0000
0.3259 0.3259 0.1530
0.3346 0.3346 0.6786
0.6654 0.6654 0.3214
0.6741 0.6741 0.8470
0.0000 0.0000 0.5000
0.1655 0.1655 0.5825
0.4946 0.4946 0.2536
0.5054 0.5054 0.7464
0.8345 0.8345 0.4175



# 20
LiTa2In GGA-PBE relaxed; final energy = -27.51 eV/f.u.; ΔE_f = 20.4 kJ per mole of atoms; M_tot = 0.00 Bohr magnetons per cell
1.0
3.4377 0.0000 0.0000
0.0000 3.4377 0.0000
0.0000 0.0000 6.3856
Li Ta In
1 2 1
Direct
0.0000 0.0000 0.0000
0.0000 0.0000 0.4740
0.5000 0.5000 0.2739
0.5000 0.5000 0.7719



# 21
AlTl2Pb GGA-PBE relaxed; final energy = -11.52 eV/f.u.; ΔE_f = 16.1 kJ per mole of atoms; E above lowest polymorph = 0.042 eV per atom; M_tot = 0.00 Bohr magnetons per cell
1.0
-1.8071 2.7990 5.4811
1.8071 -2.7990 5.4811
1.8071 2.7990 -5.4811
Al Tl Pb
1 2 1
Direct
0.0000 0.0000 0.0000
0.2245 0.7245 0.5000
0.7755 0.2755 0.5000
0.5000 0.5000 0.0000



# 22
Cr2Cu2Au GGA-PBE relaxed; final energy = -27.91 eV/f.u.; ΔE_f = 54.2 kJ per mole of atoms; E above lowest polymorph = 0.075 eV per atom; M_tot = 0.00 Bohr magnetons per cell
1.0
7.1327 0.0000 0.0000
0.0000 7.1327 0.0000
0.0000 0.0000 2.6218
Cr Cu Au
4 4 2
Direct
0.1736 0.3263 0.0000
0.3263 0.8264 0.0000
0.6736 0.1736 0.0000
0.8264 0.6736 0.0000
0.1216 0.6216 0.5000
0.3784 0.1216 0.5000
0.6216 0.8784 0.5000
0.8784 0.3784 0.5000
0.0000 0.0000 0.5000
0.5000 0.5000 0.5000



# 23
ZnTcSe2 GGA-PBE relaxed; final energy = -19.72 eV/f.u.; E above lowest polymorph = 0.003 eV per atom; M_tot = 1.78 Bohr magnetons per cell; raw formation energy = -27 kJ per mole of atoms
1.0
7.0588 -1.7650 0.0000
7.0588 1.7650 0.0000
-0.1727 0.0000 7.1153
Zn Tc Se
2 2 4
Direct
0.1849 0.1849 0.4764
0.8151 0.8151 0.5236
0.2775 0.2775 0.1509
0.7225 0.7225 0.8491
0.0951 0.0951 0.7478
0.3516 0.3516 0.8416
0.6484 0.6484 0.1584
0.9049 0.9049 0.2522



# 24
ScUTe4 GGA-PBE relaxed; final energy = -35.00 eV/f.u.; E above lowest polymorph = 0.000 eV per atom; M_tot = 1.00 Bohr magnetons per cell; raw formation energy = -77 kJ per mole of atoms
1.0
7.1891 0.0000 0.0000
0.0000 4.2461 0.0000
-2.3097 0.0000 7.2678
Sc U Te
1 1 4
Direct
0.0000 0.0000 0.0000
0.5000 0.5000 0.0000
0.2383 0.5000 0.2324
0.2520 0.0000 0.7594
0.7480 0.0000 0.2406
0.7617 0.5000 0.7676